A plane-wave DFT calculation with PBE-GGA was carried out for a relaxed structure of CdCu2Ru2.

Cell: 7.289 7.289 2.835 Å, 90.00 90.00 90.00°
Last column: magnetic moment on the atom in μB.
Element x y z (fractional)
Ru1 0.375 0.125 0.500  0.53
Cu1 0.168 0.332 0.000  0.04
Ru2 0.875 0.375 0.500  0.53
Cu2 0.332 0.832 0.000  0.05
Cd1 0.500 0.500 0.000  -0.01
Ru3 0.625 0.875 0.500  0.53
Cd2 0.000 0.000 0.000  -0.01
Cu3 0.668 0.168 0.000  0.05
Ru4 0.125 0.625 0.500  0.53
Cu4 0.832 0.668 0.000  0.04

Energy of formation from the pure elements   2.28 eV/f.u.
V   151 Å³/cell
Energy relative to the lowest polymorph listed for this composition   0 meV/atom
Calculated total energy   -5.08 eV per atom
Symmetry   P4/mbm